## a
## CrInC3 (PBE)

Data for crystalline CrInC3 at its relaxed geometry.

Output
Total magnetic moment (μB/f.u.): 0.22

abc: 4.218 4.218 4.218
angles: 90.00 90.00 90.00
Each line ends with the local moment (μB).
Positions (direct):
Cr 0.500 0.500 0.500  -0.17
C 0.000 0.500 0.000  0.06
C 0.000 0.000 0.500  0.02
C 0.500 0.000 0.000  0.13
In 0.000 0.000 0.000  -0.02



## b
## CrInC3 (PBE)

Data for crystalline CrInC3 at its relaxed geometry.

Output
Total magnetic moment (μB/f.u.): 0.00

abc: 3.914 3.914 3.914
angles: 90.00 90.00 90.00
Positions (direct):
Cr 0.000 0.000 0.000
C 0.000 0.500 0.000
C 0.000 0.000 0.500
C 0.500 0.000 0.000
In 0.500 0.500 0.500



Most stable structure among those shown: b. Next: +1863 meV/atom.